Record 1
This record from Alexandria via LeMat-Bulk describes BeSiBr2 at its PBEsol-relaxed geometry. The functional is SCAN.

```
BeSiBr2
1.0
-0.4859 0.5091 3.1019
-2.6521 -4.3225 0.2940
5.7931 -1.6798 -0.4477
Be Si Br
1 1 2
Cartesian
-0.2429 0.2545 1.5510
-1.3261 -2.1612 0.1470
1.5176 -4.3284 2.5789
1.1375 -1.1647 0.3693
```

Output
energy relative to the elements, uncorrected: 0.184 eV per atom
symmetry: C2/m (12)

---

Record 2
This record from Alexandria via LeMat-Bulk describes BeSiBr2 at its PBEsol-relaxed geometry. The functional is SCAN.

```
BeSiBr2
1.0
3.3315 0.0000 0.0000
0.0000 4.7412 0.0989
0.0000 -0.1015 4.7416
Be Si Br
1 1 2
Cartesian
1.6658 2.3199 2.4202
1.6658 0.0000 0.0000
0.0000 2.3706 0.0494
0.0000 -0.0507 2.3708
```

Output
energy relative to the elements, uncorrected: 0.876 eV per atom
symmetry: P4/mmm (123)

---

Record 3
This record from Alexandria via LeMat-Bulk describes BeSiBr2 at its PBEsol-relaxed geometry. The functional is SCAN.

```
BeSiBr2
1.0
3.2653 0.0000 0.0000
-1.6326 3.1616 0.0000
0.0000 0.0000 8.6173
Be Si Br
1 1 2
Cartesian
1.6326 0.0000 6.3473
0.0000 0.0000 4.6610
0.0000 0.0000 7.8086
1.6326 0.0000 2.7262
```

Output
energy relative to the elements, uncorrected: 0.008 eV per atom
symmetry: Cmm2 (35)

---

Record 4
This record from Alexandria via LeMat-Bulk describes BeSnBr2 at its PBEsol-relaxed geometry. The functional is SCAN.

```
BeSnBr2
1.0
-3.0911 4.0205 0.6129
-4.9616 -0.3941 -1.1501
-3.4931 -0.0086 3.7274
Be Sn Br
1 1 2
Cartesian
0.0000 0.0000 0.0000
-5.7729 1.8089 1.5951
-2.8864 0.9045 0.7976
-8.6593 2.7134 2.3927
```

Output
energy relative to the elements, uncorrected: 0.427 eV per atom
symmetry: Fm-3m (225)

---

Record 5
This record from Alexandria via LeMat-Bulk describes SrBe2Br at its PBEsol-relaxed geometry. The functional is SCAN.

```
SrBe2Br
1.0
-0.1426 -4.0392 -1.4630
3.9545 0.4545 -1.6402
1.8870 -1.5581 4.1179
Sr Br Be
1 1 2
Cartesian
2.8494 -2.5714 0.5074
0.9435 -0.7790 2.0589
2.9578 0.3399 -1.2268
0.9967 0.1145 -0.4134
```

Output
energy relative to the elements, uncorrected: 0.101 eV per atom
symmetry: Pmmm (47)

---

Record 6
This record from Alexandria via LeMat-Bulk describes SrBe2Br at its PBEsol-relaxed geometry. The functional is SCAN.

```
SrBe2Br
1.0
-0.1863 2.0405 3.5313
0.0836 -3.5323 2.0456
5.3624 0.2179 0.1570
Sr Br Be
1 1 2
Cartesian
2.6812 0.1089 0.0785
2.6299 -0.6370 2.8669
0.0418 -1.7662 1.0228
-0.0931 1.0203 1.7656
```

Output
energy relative to the elements, uncorrected: 0.338 eV per atom
symmetry: P4/mmm (123)

---

Record 7
This record from Alexandria via LeMat-Bulk describes SrBeBr at its PBEsol-relaxed geometry. The functional is SCAN.

```
SrBeBr
1.0
-1.2835 -1.0556 4.6629
2.5103 -3.4258 2.5430
2.9401 1.3573 3.7441
Sr Br Be
1 1 1
Cartesian
2.0835 -1.5621 5.4750
0.0000 0.0000 0.0000
3.1252 -2.3431 8.2126
```

Output
energy relative to the elements, uncorrected: 0.106 eV per atom
symmetry: F-43m (216)

---

Record 8
This record from Alexandria via LeMat-Bulk describes SrBe2Br at its PBEsol-relaxed geometry. The functional is SCAN.

```
SrBe2Br
1.0
4.1639 0.0000 0.0000
0.0000 5.0067 0.0000
-2.0820 -2.5034 4.5293
Sr Br Be
1 1 2
Cartesian
0.0000 2.5034 2.5575
2.0820 2.5033 0.1792
0.0000 0.0000 0.7173
2.0820 0.0000 1.0754
```

Output
energy relative to the elements, uncorrected: 0.096 eV per atom
symmetry: Imm2 (44)

---

Q: Which value of energy relative to the elements, uncorrected does entry 6 give?
A: 0.338 eV per atom

---

Q: Which value of energy relative to the elements, uncorrected does entry 3 give?
A: 0.008 eV per atom

---

Q: Among the records above, which one has the lowest energy relative to the elements, uncorrected?
A: number 3

---

Q: The highest energy relative to the elements, uncorrected belongs to which entry?
A: number 2